Entry 1:
VASP calculation (PBE) on an optimized crystal structure of HoEr6Sc4.

The total energy comes out at -53.75 eV per formula unit. The value obtained for the formation energy is 321 meV per atom. The total magnetization is 0.00 μB/atom.

It has space group I-42m (No. 121), with a = 6.315 Å, b = 6.315 Å, c = 16.452 Å, α = 90.00°, β = 90.00° and γ = 90.00°. Symmetry generates all atoms from Ho at (0.000, 0.000, 0.000), Er at (0.000, 0.500, 0.000), Er at (0.188, 0.188, 0.178) and Sc at (0.175, 0.175, 0.373).



Entry 2:
VASP calculation (PBE) on an optimized crystal structure of HoEr8Sc3.

The total energy comes out at -51.64 eV per formula unit. The value obtained for the formation energy is 703 meV per atom. The total magnetization is 0.00 μB/atom.

It has space group I4/mmm (No. 139), with a = 7.461 Å, b = 7.461 Å, c = 14.930 Å, α = 90.00°, β = 90.00° and γ = 90.00°. Symmetry generates all atoms from Ho at (0.000, 0.000, 0.000), Er at (0.246, 0.246, 0.373), Sc at (0.000, 0.000, 0.500) and Sc at (0.000, 0.500, 0.250).



Entry 3:
VASP calculation (PBE) on an optimized crystal structure of Ho6ErSc3.

The total energy comes out at -49.35 eV per formula unit. The value obtained for the formation energy is 167 meV per atom. The total magnetization is 0.00 μB/atom.

It has space group Cmc2_1 (No. 36), with a = 10.405 Å, b = 18.462 Å, c = 6.115 Å, α = 90.00°, β = 90.00° and γ = 90.00°. Symmetry generates all atoms from Ho at (0.000, 0.047, 0.000), Ho at (0.000, 0.300, 0.793), Ho at (0.167, 0.462, 0.659), Ho at (0.243, 0.205, 0.982), Er at (0.000, 0.210, 0.310), Sc at (0.000, 0.386, 0.236) and Sc at (0.187, 0.113, 0.559).



Entry 4:
VASP calculation (PBE) on an optimized crystal structure of Ho3Er5Sc3.

The total energy comes out at -51.50 eV per formula unit. The value obtained for the formation energy is 368 meV per atom. The total magnetization is 0.00 μB/atom.

It has space group P-62m (No. 189), with a = 10.7370 Å, b = 10.7370 Å, c = 3.3585 Å, α = 90.00°, β = 90.00° and γ = 120.00°. Symmetry generates all atoms from Ho at (0.0000, 0.6543, 0.0000), Er at (0.0000, 0.1652, 0.0000), Er at (0.3333, 0.6667, 0.0000) and Sc at (0.0000, 0.4082, 0.5000).



Entry 5:
VASP calculation (PBE) on an optimized crystal structure of HoErSc4.

The total energy comes out at -34.27 eV per formula unit. The value obtained for the formation energy is 33 meV per atom. The total magnetization is 0.00 μB/atom.

It has space group Cmc2_1 (No. 36), with a = 3.368 Å, b = 17.440 Å, c = 10.810 Å, α = 90.00°, β = 90.00° and γ = 90.00°. Symmetry generates all atoms from Ho at (0.000, 0.163, 0.000), Er at (0.000, 0.280, 0.756), Sc at (0.000, 0.052, 0.257), Sc at (0.000, 0.163, 0.509), Sc at (0.000, 0.393, 0.251) and Sc at (0.000, 0.497, 0.005).



Entry 6:
VASP calculation (PBE) on an optimized crystal structure of Ho4Er11Sc9.

The total energy comes out at -123.54 eV per formula unit. The value obtained for the formation energy is 81 meV per atom. The total magnetization is 0.00 μB/atom.

It has space group Cmmm (No. 65), with a = 19.650 Å, b = 20.347 Å, c = 3.405 Å, α = 90.00°, β = 90.00° and γ = 90.00°. Symmetry generates all atoms from Ho at (0.137, 0.084, 0.000), Er at (0.000, 0.156, 0.500), Er at (0.000, 0.328, 0.500), Er at (0.000, 0.500, 0.500), Er at (0.233, 0.500, 0.500), Er at (0.243, 0.332, 0.500), Sc at (0.000, 0.000, 0.000), Sc at (0.118, 0.413, 0.000) and Sc at (0.124, 0.245, 0.000).



Entry 7:
VASP calculation (PBE) on an optimized crystal structure of Ho6Er3Sc.

The total energy comes out at -46.05 eV per formula unit. The value obtained for the formation energy is 143 meV per atom. The total magnetization is 0.00 μB/atom.

It has space group Cmc2_1 (No. 36), with a = 10.811 Å, b = 18.709 Å, c = 6.091 Å, α = 90.00°, β = 90.00° and γ = 90.00°. Symmetry generates all atoms from Ho at (0.000, 0.048, 0.000), Ho at (0.000, 0.278, 0.717), Ho at (0.165, 0.454, 0.611), Ho at (0.243, 0.289, 0.428), Er at (0.000, 0.389, 0.142), Er at (0.165, 0.110, 0.530) and Sc at (0.000, 0.206, 0.208).



Entry 8:
VASP calculation (PBE) on an optimized crystal structure of Ho2Er7Sc.

The total energy comes out at -45.64 eV per formula unit. The value obtained for the formation energy is 178 meV per atom. The total magnetization is 0.00 μB/atom.

It has space group Cmmm (No. 65), with a = 6.360 Å, b = 28.190 Å, c = 3.434 Å, α = 90.00°, β = 90.00° and γ = 90.00°. Symmetry generates all atoms from Ho at (0.000, 0.208, 0.000), Er at (0.000, 0.000, 0.000), Er at (0.000, 0.315, 0.500), Er at (0.245, 0.403, 0.000) and Sc at (0.000, 0.500, 0.500).



Entry 9:
VASP calculation (PBE) on an optimized crystal structure of HoEr2Sc4.

The total energy comes out at -37.82 eV per formula unit. The value obtained for the formation energy is 172 meV per atom. The total magnetization is 0.00 μB/atom.

It has space group Cmmm (No. 65), with a = 3.584 Å, b = 20.899 Å, c = 5.222 Å, α = 90.00°, β = 90.00° and γ = 90.00°. Symmetry generates all atoms from Ho at (0.000, 0.000, 0.000), Er at (0.000, 0.426, 0.500), Sc at (0.000, 0.197, 0.500) and Sc at (0.000, 0.321, 0.000).



Entry 10:
VASP calculation (PBE) on an optimized crystal structure of Ho14ErSc.

The total energy comes out at -74.60 eV per formula unit. The value obtained for the formation energy is 24 meV per atom. The total magnetization is 0.00 μB/atom.

It has space group P4/mmm (No. 123), with a = 7.016 Å, b = 7.016 Å, c = 9.905 Å, α = 90.00°, β = 90.00° and γ = 90.00°. Symmetry generates all atoms from Ho at (0.000, 0.000, 0.000), Ho at (0.000, 0.500, 0.000), Ho at (0.000, 0.500, 0.500), Ho at (0.249, 0.249, 0.252), Ho at (0.500, 0.500, 0.000), Er at (0.500, 0.500, 0.500) and Sc at (0.000, 0.000, 0.500).



Entry 11:
VASP calculation (PBE) on an optimized crystal structure of HoEr3Sc2.

The total energy comes out at -30.05 eV per formula unit. The value obtained for the formation energy is 147 meV per atom. The total magnetization is 0.00 μB/atom.

It has space group C2/m (No. 12), with a = 22.407 Å, b = 3.364 Å, c = 9.797 Å, α = 90.00°, β = 107.95° and γ = 90.00°. Symmetry generates all atoms from Ho at (0.185, 0.000, 0.043), Er at (0.059, 0.000, 0.433), Er at (0.070, 0.500, 0.771), Er at (0.197, 0.000, 0.708), Sc at (0.071, 0.500, 0.138) and Sc at (0.192, 0.000, 0.373).



Entry 12:
VASP calculation (PBE) on an optimized crystal structure of HoEr4Sc.

The total energy comes out at -25.18 eV per formula unit. The value obtained for the formation energy is 664 meV per atom. The total magnetization is 0.00 μB/atom.

It has space group P4/mmm (No. 123), with a = 4.988 Å, b = 4.988 Å, c = 8.623 Å, α = 90.00°, β = 90.00° and γ = 90.00°. Symmetry generates all atoms from Ho at (0.000, 0.000, 0.000), Er at (0.000, 0.500, 0.283) and Sc at (0.500, 0.500, 0.500).



Entry 13:
VASP calculation (PBE) on an optimized crystal structure of Ho6ErSc4.

The total energy comes out at -53.84 eV per formula unit. The value obtained for the formation energy is 320 meV per atom. The total magnetization is 0.00 μB/atom.

It has space group I-42m (No. 121), with a = 6.336 Å, b = 6.336 Å, c = 16.451 Å, α = 90.00°, β = 90.00° and γ = 90.00°. Symmetry generates all atoms from Ho at (0.000, 0.500, 0.000), Ho at (0.188, 0.188, 0.178), Er at (0.000, 0.000, 0.000) and Sc at (0.175, 0.175, 0.374).



Entry 14:
VASP calculation (PBE) on an optimized crystal structure of Ho3Er2Sc2.

The total energy comes out at -35.20 eV per formula unit. The value obtained for the formation energy is 45 meV per atom. The total magnetization is 0.00 μB/atom.

It has space group C2/m (No. 12), with a = 14.997 Å, b = 3.449 Å, c = 8.417 Å, α = 90.00°, β = 111.77° and γ = 90.00°. Symmetry generates all atoms from Ho at (0.000, 0.000, 0.000), Ho at (0.214, 0.500, 0.149), Er at (0.070, 0.500, 0.708) and Sc at (0.146, 0.000, 0.432).



Entry 15:
VASP calculation (PBE) on an optimized crystal structure of Ho2ErScSe5.

The total energy comes out at -46.89 eV per formula unit. The total magnetization is 0.00 μB/atom. The formation energy (no corrections) comes out at -9.4 eV/f.u.

It has space group P4/mmm (No. 123), with a = 5.095 Å, b = 5.095 Å, c = 10.244 Å, α = 90.00°, β = 90.00° and γ = 90.00°. Symmetry generates all atoms from Ho at (0.000, 0.000, 0.206), Er at (0.500, 0.500, 0.000), Sc at (0.500, 0.500, 0.500), Se at (0.000, 0.000, 0.500), Se at (0.000, 0.500, 0.000) and Se at (0.500, 0.500, 0.261).



Entry 16:
VASP calculation (PBE) on an optimized crystal structure of Ho2Er3ScSe6.

The total energy comes out at -70.26 eV per formula unit. The total magnetization is 0.00 μB/atom. The formation energy (no corrections) comes out at -20.2 eV/f.u.

It has space group C2/m (No. 12), with a = 17.496 Å, b = 4.011 Å, c = 8.064 Å, α = 90.00°, β = 103.33° and γ = 90.00°. Symmetry generates all atoms from Ho at (0.166, 0.000, 0.333), Er at (0.000, 0.500, 0.500), Er at (0.169, 0.000, 0.835), Sc at (0.000, 0.500, 0.000), Se at (0.002, 0.000, 0.758), Se at (0.162, 0.500, 0.080) and Se at (0.166, 0.500, 0.584).



Entry 17:
VASP calculation (PBE) on an optimized crystal structure of Ho4Er3ScSe8.

The total energy comes out at -93.19 eV per formula unit. The total magnetization is 0.00 μB/atom. The formation energy (no corrections) comes out at -27.0 eV/f.u.

It has space group R-3m (No. 166, hexagonal axes), with a = 8.0559 Å, b = 8.0559 Å, c = 19.7591 Å, α = 90.00°, β = 90.00° and γ = 120.00°. Symmetry generates all atoms from Ho at (0.0000, 0.0000, 0.0000), Ho at (0.0000, 0.5000, 0.0000), Er at (0.0000, 0.5000, 0.5000), Sc at (0.0000, 0.0000, 0.5000), Se at (0.0000, 0.0000, 0.2494) and Se at (0.0051, 0.5026, 0.2481).



Entry 18:
VASP calculation (PBE) on an optimized crystal structure of Ho3ErSc2Se6.

The total energy comes out at -71.91 eV per formula unit. The total magnetization is 0.00 μB/atom. The formation energy (no corrections) comes out at -20.0 eV/f.u.

It has space group C2/m (No. 12), with a = 6.889 Å, b = 11.999 Å, c = 6.939 Å, α = 90.00°, β = 109.43° and γ = 90.00°. Symmetry generates all atoms from Ho at (0.000, 0.000, 0.000), Ho at (0.000, 0.337, 0.000), Er at (0.000, 0.500, 0.500), Sc at (0.000, 0.167, 0.500), Se at (0.238, 0.000, 0.738) and Se at (0.249, 0.170, 0.258).



Entry 19:
VASP calculation (PBE) on an optimized crystal structure of HoErSc2Se6.

The total energy comes out at -60.20 eV per formula unit. The total magnetization is 0.00 μB/atom. The formation energy (no corrections) comes out at -17.5 eV/f.u.

It has space group R3 (No. 146, hexagonal axes), with a = 6.9713 Å, b = 6.9713 Å, c = 18.8585 Å, α = 90.00°, β = 90.00° and γ = 120.00°. Symmetry generates all atoms from Ho at (0.0000, 0.0000, 0.0000), Er at (0.0000, 0.0000, 0.4996), Sc at (0.0000, 0.0000, 0.3069), Sc at (0.0000, 0.0000, 0.8071), Se at (0.0139, 0.3713, 0.0653) and Se at (0.0135, 0.6439, 0.5652).



Entry 20:
VASP calculation (PBE) on an optimized crystal structure of SmHo5ErSc2.

The total energy comes out at -43.31 eV per formula unit. The value obtained for the formation energy is 169 meV per atom. The total magnetization is 0.00 μB/atom.

It has space group Cmc2_1 (No. 36), with a = 5.569 Å, b = 21.348 Å, c = 9.292 Å, α = 90.00°, β = 90.00° and γ = 90.00°. Symmetry generates all atoms from Sm at (0.000, 0.185, 0.000), Ho at (0.000, 0.010, 0.004), Ho at (0.000, 0.265, 0.684), Ho at (0.000, 0.307, 0.299), Ho at (0.000, 0.392, 0.971), Ho at (0.000, 0.469, 0.269), Er at (0.000, 0.403, 0.598), Sc at (0.000, 0.113, 0.693) and Sc at (0.000, 0.136, 0.318).